# 1
The following is a PBE calculation of an optimized crystal structure of Ba4TlIn2, from Alexandria.

The space group is R-3m (No. 166, hexagonal axes) and the conventional cell measures 6.0555, 6.0555 and 29.3885 Å, with angles of 90.00, 90.00 and 120.00 degrees. Symmetry generates all atoms from Ba at (0.0000, 0.0000, 0.1234), Ba at (0.0000, 0.0000, 0.3753), Tl at (0.0000, 0.0000, 0.5000) and In at (0.0000, 0.0000, 0.2479).

As for the energy relative to the elements: -0.33 eV per atom. As for the calculated density: 5.2 g/cm³.

# 2
The following is a PBE calculation of an optimized crystal structure of K2TlIrO4, from Alexandria.

The space group is I-4 (No. 82) and the conventional cell measures 6.4179, 6.4179 and 7.2747 Å, with angles of 90.00, 90.00 and 90.00 degrees. Symmetry generates all atoms from K at (0.0000, 0.0000, 0.0000), K at (0.0000, 0.5000, 0.2500), Tl at (0.0000, 0.0000, 0.5000), Ir at (0.0000, 0.5000, 0.7500) and O at (0.2065, 0.7078, 0.7498).

As for the uncorrected formation energy: -1.03 eV/atom. As for the calculated density: 6.0 g/cm³.